A plane-wave DFT calculation with PBE was carried out for crystalline CaAc2Tl2 at its relaxed geometry.

- magnetic moment (μB per atom) = 0.000
- Fermi-level density of states (states/eV/atom) = 0.870
- E_form (eV/atom) = -0.247
- uncorrected energy (eV/atom) = -3.237
- distance to the lowest polymorph of the same formula (eV/atom) = 0.0883

Lattice parameters (Å, degrees): 9.919 9.919 7.171 90.00 90.00 148.24
Positions (direct):
Ca: 0.113 0.887 0.500
Ca: 0.887 0.113 0.000
Ac: 0.305 0.695 0.350
Ac: 0.478 0.522 0.710
Ac: 0.522 0.478 0.210
Ac: 0.695 0.305 0.850
Tl: 0.072 0.928 0.946
Tl: 0.307 0.693 0.854
Tl: 0.693 0.307 0.354
Tl: 0.928 0.072 0.446